[1]
Crystalline Rb3GaI4 at its relaxed geometry, computed with PBE.

POSCAR file:
```
Rb3GaI4
1.0
12.5469 0.0000 0.0000
0.0000 10.5031 0.0000
0.0000 0.0000 7.3627
Rb Ga I
6 2 8
direct
0.0000 0.1565 0.0000
0.2440 0.3293 0.4998
0.2560 0.6707 0.9998
0.5000 0.8435 0.5000
0.7440 0.6707 0.9998
0.7560 0.3293 0.4998
0.0000 0.8225 0.4773
0.5000 0.1775 0.9773
0.0000 0.1360 0.5002
0.0000 0.8173 0.0644
0.2402 0.6789 0.5003
0.2598 0.3211 0.0003
0.5000 0.1827 0.5644
0.5000 0.8640 0.0002
0.7402 0.3211 0.0003
0.7598 0.6789 0.5003
```

Output
ρ = 2.9 Mg/m³
size of the total moment = 0.000 μB/cell
SG = Pmn2_1
formation energy from raw total energies = -896 kJ/mol of formula units

[2]
Crystalline RbGaI2 at its relaxed geometry, computed with PBE.

POSCAR file:
```
RbGaI2
1.0
8.8348 0.0000 0.0000
0.0000 8.8653 0.0000
-0.0299 0.0000 10.3048
Rb Ga I
4 4 8
direct
0.2501 0.0000 0.2133
0.2499 0.5000 0.7867
0.7499 0.0000 0.7867
0.7501 0.5000 0.2133
0.2495 0.0000 0.5759
0.2505 0.5000 0.4241
0.7495 0.5000 0.5759
0.7505 0.0000 0.4241
0.0000 0.2505 0.5000
0.0000 0.7495 0.5000
0.2503 0.0000 0.8620
0.2497 0.5000 0.1380
0.5000 0.2495 0.5000
0.5000 0.7505 0.5000
0.7497 0.0000 0.1380
0.7503 0.5000 0.8620
```

Output
ρ = 3.4 Mg/m³
size of the total moment = 0.000 μB/cell
SG = C2/m
formation energy from raw total energies = -322 kJ/mol of formula units

[3]
Crystalline RbGaI2 at its relaxed geometry, computed with PBE.

POSCAR file:
```
RbGaI2
1.0
7.8358 0.0000 0.0000
0.0000 7.8358 0.0000
0.0000 0.0000 15.8961
Rb Ga I
4 4 8
direct
0.0000 0.0000 0.0000
0.0000 0.5000 0.2500
0.5000 0.0000 0.7500
0.5000 0.5000 0.5000
0.0000 0.0000 0.5000
0.0000 0.5000 0.7500
0.5000 0.0000 0.2500
0.5000 0.5000 0.0000
0.2060 0.2500 0.6250
0.2500 0.7060 0.8750
0.2500 0.7940 0.3750
0.2940 0.2500 0.1250
0.7060 0.7500 0.1250
0.7500 0.2060 0.3750
0.7500 0.2940 0.8750
0.7940 0.7500 0.6250
```

Output
ρ = 2.8 Mg/m³
size of the total moment = 0.000 μB/cell
SG = I-42d
formation energy from raw total energies = -320 kJ/mol of formula units

[4]
Crystalline RbGa2I3 at its relaxed geometry, computed with PBE.

POSCAR file:
```
RbGa2I3
1.0
8.3185 0.0000 0.0000
0.0000 4.8303 0.0000
-2.7880 0.0000 12.5026
Rb Ga I
2 4 6
direct
0.0317 0.2500 0.3279
0.9683 0.7500 0.6721
0.2578 0.2500 0.9949
0.4867 0.2500 0.6790
0.5133 0.7500 0.3210
0.7422 0.7500 0.0051
0.1537 0.7500 0.1458
0.2832 0.7500 0.5078
0.3846 0.7500 0.8455
0.6154 0.2500 0.1545
0.7168 0.2500 0.4922
0.8463 0.2500 0.8542
```

Output
ρ = 4.0 Mg/m³
size of the total moment = 0.000 μB/cell
SG = P2_1/m
formation energy from raw total energies = -399 kJ/mol of formula units

[5]
Crystalline Rb2GaI5 at its relaxed geometry, computed with PBE.

POSCAR file:
```
Rb2GaI5
1.0
8.6701 0.0000 0.0000
0.0000 8.6701 0.0000
0.0000 0.0000 10.3552
Rb Ga I
4 2 10
direct
0.0000 0.5000 0.0000
0.0000 0.5000 0.5000
0.5000 0.0000 0.0000
0.5000 0.0000 0.5000
0.0000 0.0000 0.3002
0.5000 0.5000 0.8002
0.0000 0.0000 0.5515
0.2216 0.2216 0.2433
0.2216 0.7784 0.2433
0.2784 0.2784 0.7433
0.2784 0.7216 0.7433
0.5000 0.5000 0.0515
0.7216 0.2784 0.7433
0.7216 0.7216 0.7433
0.7784 0.2216 0.2433
0.7784 0.7784 0.2433
```

Output
ρ = 3.7 Mg/m³
size of the total moment = 0.000 μB/cell
SG = I4mm
formation energy from raw total energies = -730 kJ/mol of formula units

[6]
Crystalline Rb2GaI4 at its relaxed geometry, computed with PBE.

POSCAR file:
```
Rb2GaI4
1.0
8.8627 0.0000 0.0000
0.0000 8.8627 0.0000
0.0000 0.0000 12.3290
Rb Ga I
4 2 8
direct
0.0000 0.5000 0.2500
0.0000 0.5000 0.7500
0.5000 0.0000 0.2500
0.5000 0.0000 0.7500
0.0000 0.0000 0.0000
0.5000 0.5000 0.5000
0.1980 0.1980 0.1115
0.1980 0.8020 0.8885
0.3020 0.3020 0.6115
0.3020 0.6980 0.3885
0.6980 0.3020 0.3885
0.6980 0.6980 0.6115
0.8020 0.1980 0.8885
0.8020 0.8020 0.1115
```

Output
ρ = 2.6 Mg/m³
size of the total moment = 1.745 μB/cell
SG = I-42m
formation energy from raw total energies = -629 kJ/mol of formula units

[7]
Crystalline Rb3GaI4 at its relaxed geometry, computed with PBE.

POSCAR file:
```
Rb3GaI4
1.0
8.9402 0.0000 0.0000
0.0000 10.3391 0.0000
-2.9943 0.0000 8.3920
Rb Ga I
6 2 8
direct
0.0000 0.1236 0.2500
0.0000 0.3707 0.7500
0.0000 0.6293 0.2500
0.0000 0.8764 0.7500
0.5000 0.3737 0.2500
0.5000 0.6263 0.7500
0.5000 0.1144 0.7500
0.5000 0.8856 0.2500
0.2564 0.3647 0.5104
0.2564 0.6353 0.0104
0.2756 0.1100 0.0005
0.2756 0.8900 0.5005
0.7244 0.1100 0.4995
0.7244 0.8900 0.9995
0.7436 0.3647 0.9896
0.7436 0.6353 0.4896
```

Output
ρ = 3.6 Mg/m³
size of the total moment = 0.000 μB/cell
SG = P2/c
formation energy from raw total energies = -919 kJ/mol of formula units

[8]
Crystalline RbGa2I2 at its relaxed geometry, computed with PBE.

POSCAR file:
```
RbGa2I2
1.0
9.4207 0.0000 0.0000
0.0000 9.4207 0.0000
0.0000 0.0000 4.7172
Rb Ga I
2 4 4
direct
0.0000 0.0000 0.0000
0.5000 0.5000 0.0000
0.1871 0.3129 0.5000
0.3129 0.8129 0.5000
0.6871 0.1871 0.5000
0.8129 0.6871 0.5000
0.1546 0.6546 0.0000
0.3454 0.1546 0.0000
0.6546 0.8454 0.0000
0.8454 0.3454 0.0000
```

Output
ρ = 3.8 Mg/m³
size of the total moment = 1.715 μB/cell
SG = P4/mbm
formation energy from raw total energies = -147 kJ/mol of formula units

Q: Which of these has the lowest formation energy from raw total energies?
A: number 7

Q: What is the formation energy from raw total energies in the seventh record?
A: -919 kJ/mol of formula units

Q: Which of these has the highest size of the total moment?
A: Rb2GaI4